Entry 1:
The following is a PBE-GGA calculation of a relaxed PrSnTe2AuS crystal, from the Open Quantum Materials Database.

a b c (Å): 7.629 7.629 10.566
angles (deg): 90.00 90.00 147.04
Fractional positions:
Te: 0.343 0.657 0.936
S: 0.916 0.084 0.250
Sn: 0.727 0.273 0.750
Sn: 0.273 0.727 0.250
Au: 0.521 0.479 0.250
Te: 0.343 0.657 0.564
Pr: 0.000 0.000 0.500
Pr: 0.000 0.000 0.000
Te: 0.657 0.343 0.064
S: 0.084 0.916 0.750
Te: 0.657 0.343 0.436
Au: 0.479 0.521 0.750

Entry 2:
The following is a PBE-GGA calculation of a relaxed LiAg3WS4 crystal, from the Open Quantum Materials Database.

a b c (Å): 6.014 6.014 6.014
angles (deg): 90.00 90.00 90.00
Fractional positions:
S: 0.271 0.729 0.729
S: 0.729 0.271 0.729
Ag: 0.500 0.500 0.000
S: 0.271 0.271 0.271
Li: 0.000 0.000 0.000
Ag: 0.500 0.000 0.500
W: 0.500 0.500 0.500
Ag: 0.000 0.500 0.500
S: 0.729 0.729 0.271

Entry 3:
The following is a PBE-GGA calculation of a relaxed Lu2Tl crystal, from the Open Quantum Materials Database.

a b c (Å): 9.191 9.191 9.191
angles (deg): 60.00 60.00 60.00
Fractional positions:
Lu: 0.375 0.375 0.375
Lu: 0.875 0.375 0.375
Lu: 0.375 0.875 0.375
Tl: 0.500 0.500 0.500
Lu: 0.375 0.375 0.875
Tl: 0.250 0.250 0.250

Entry 4:
The following is a PBE-GGA calculation of a relaxed LiIn2FeCu4 crystal, from the Open Quantum Materials Database.

a b c (Å): 4.280 4.280 6.213
angles (deg): 90.00 90.00 90.00
Fractional positions:
Cu: 0.000 0.500 0.245
Fe: 0.500 0.500 0.000
In: 0.000 0.000 0.000
Cu: 0.000 0.500 0.755
Li: 0.000 0.000 0.500
Cu: 0.500 0.000 0.245
Cu: 0.500 0.000 0.755
In: 0.500 0.500 0.500

no.,calculated total energy (eV per atom)
1,-4.48
2,-4.60
3,-2.35
4,-3.79